A geometry-optimized Dy4PuZn5 structure, computed with PBE-GGA.

The space group is P4/mmm (No. 123) and the conventional cell measures 3.563, 3.563 and 17.842 Å, with angles of 90.00, 90.00 and 90.00 degrees. The asymmetric unit holds Dy at (0.000, 0.000, 0.100), Dy at (0.000, 0.000, 0.299), Pu at (0.000, 0.000, 0.500), Zn at (0.500, 0.500, 0.000), Zn at (0.500, 0.500, 0.199) and Zn at (0.500, 0.500, 0.396).

Its crystal system is tetragonal. Its formation energy is -0.28 eV per atom.


A geometry-optimized MnNbCu2 structure, computed with PBE-GGA.

The space group is Fm-3m (No. 225) and the conventional cell measures 6.101, 6.101 and 6.101 Å, with angles of 90.00, 90.00 and 90.00 degrees. The asymmetric unit holds Mn at (0.000, 0.000, 0.000), Nb at (0.000, 0.000, 0.500) and Cu at (0.250, 0.250, 0.250).

Its crystal system is cubic. The energy above the lowest structure with this stoichiometry is 0 meV per atom. Its formation energy is 0.18 eV per atom.